DFT (PBE-GGA) results for crystalline Na3Te3As at its relaxed geometry.

Space group = R3m, No. 160

abc: 5.784 7.322 7.322
angles: 113.33 105.27 105.27
Positions (direct):
Na 0.475 0.479 0.479
Na 0.996 0.000 0.521
Na 0.996 0.521 0.000
Te 0.101 0.657 0.657
Te 0.444 0.000 0.343
Te 0.444 0.343 0.000
As 0.518 0.000 0.000

DFT (PBE-GGA) results for crystalline NaTe3As2 at its relaxed geometry.

Space group = Cmcm, No. 63

abc: 7.031 8.068 8.068
angles: 91.33 90.00 90.00
Positions (direct):
Na 0.250 0.423 0.577
Na 0.750 0.577 0.423
Te 0.750 0.086 0.914
Te 0.750 0.180 0.442
Te 0.250 0.442 0.180
Te 0.750 0.558 0.820
Te 0.250 0.820 0.558
Te 0.250 0.914 0.086
As 0.000 0.181 0.181
As 0.500 0.181 0.181
As 0.000 0.819 0.819
As 0.500 0.819 0.819

DFT (PBE-GGA) results for crystalline Na2Te2As at its relaxed geometry.

Space group = Ibam, No. 72

abc: 8.464 6.439 8.367
angles: 112.63 120.39 90.00
Positions (direct):
Na 0.865 0.675 0.731
Na 0.135 0.325 0.269
Na 0.635 0.945 0.269
Na 0.365 0.055 0.731
Te 0.383 0.579 0.766
Te 0.617 0.421 0.234
Te 0.117 0.813 0.234
Te 0.883 0.187 0.766
As 0.750 0.500 0.000
As 0.250 0.500 0.000

Number 1: E_tot -22.00 eV for the cell shown, raw formation energy -0.5663 eV per atom. Number 2: E_tot -40.40 eV for the cell shown, raw formation energy -0.0261 eV per atom. Number 3: E_tot -30.56 eV for the cell shown, raw formation energy -0.3416 eV per atom.